A plane-wave DFT calculation with GGA-PBE was carried out for crystalline AlSiS2 at its relaxed geometry.

VASP energy (eV/cell): -16.93
Density (g/cm³): 3.18
Uncorrected formation energy (eV/atom): 0.122

Lattice parameters (Å, degrees): 4.4474 4.4474 4.4474 60.00 60.00 60.00
Atoms (fractional coordinates):
1 S 0.7500 0.7500 0.7500
2 Al 0.0000 0.0000 0.0000
3 Si 0.5000 0.5000 0.5000
4 S 0.2500 0.2500 0.2500